Entry 1:
{
  "formula": "Zr4Sb5",
  "functional": "PBE",
  "state": "optimized geometry",
  "lattice_angstrom": [[-5.125, 5.125, 2.054], [5.125, -5.125, 2.054], [5.125, 5.125, -2.054]],
  "species": ["Zr", "Zr", "Zr", "Zr", "Sb", "Sb", "Sb", "Sb", "Sb"],
  "frac_coords": [[0.000, 0.323, 0.323], [0.000, 0.677, 0.677], [0.677, 0.000, 0.677], [0.323, 0.000, 0.323], [0.673, 0.673, 0.345], [0.673, 0.327, 0.000], [0.327, 0.327, 0.655], [0.327, 0.673, 0.000], [0.000, 0.000, 0.000]],
  "sg": "I4/mmm (139)"
}

Entry 2:
{
  "formula": "ZrSb",
  "functional": "PBE",
  "state": "optimized geometry",
  "lattice_angstrom": [[8.062, 0.000, 0.000], [0.000, 8.062, 0.000], [0.000, 0.000, 8.062]],
  "species": ["Sb", "Sb", "Sb", "Sb", "Sb", "Sb", "Zr", "Zr", "Zr", "Zr", "Zr", "Zr"],
  "frac_coords": [[0.500, 0.750, 0.000], [0.750, 0.000, 0.500], [0.000, 0.500, 0.750], [0.500, 0.250, 0.000], [0.000, 0.500, 0.250], [0.250, 0.000, 0.500], [0.250, 0.500, 0.000], [0.500, 0.000, 0.750], [0.000, 0.250, 0.500], [0.750, 0.500, 0.000], [0.000, 0.750, 0.500], [0.500, 0.000, 0.250]],
  "sg": "Pm-3n (223)"
}

Calculated energy, -6.292; -6.091 eV/atom (same order as the records).
Calculated uncorrected formation energy, -203; 244 meV/atom (same order as the records).